The following is a DFT calculation (PBE) of a relaxed Y3Be2 crystal.

Structure (POSCAR):
```
Y3Be2
1.0
0.000 7.351 3.093
5.005 0.000 3.093
5.005 7.351 0.000
Y Be
6 4
Cartesian
0.000 0.000 0.000
2.503 3.675 1.547
4.547 5.855 3.190
5.464 8.846 3.190
7.966 9.530 4.737
7.050 12.521 4.737
5.279 3.003 2.867
7.234 6.678 4.413
4.731 11.698 2.867
2.776 8.023 4.413
```

Properties
Crystal system: orthorhombic
Energy relative to the elements, eV/f.u.: 1.6
D(E_F), states/eV/cell: 11.2
Total magnetization, μB per cell: 0.0
SG: Fdd2 (43)